Entry 1:
Density functional theory data (PBE-GGA) for crystalline SrSbRh at its relaxed geometry.

Values from the calculation:
Raw total energy = -61.97 eV/cell
V = 26.5 Å³ per atom
Energy relative to the elements, uncorrected = -0.78 eV/atom
Crystal system = monoclinic

Unit cell a=6.6406 b=6.7267 c=8.3204 alpha=90.00 beta=121.29 gamma=90.00
Space group P2_1/c (No. 14)
Unique sites:
Sr1 0.2082 0.1394 0.4070 [4 per cell]
Sb1 0.2584 0.6337 0.5675 [4 per cell]
Rh1 0.3761 0.5969 0.3178 [4 per cell]


Entry 2:
Density functional theory data (PBE-GGA) for crystalline UBrClO at its relaxed geometry.

Values from the calculation:
Raw total energy = -56.65 eV/cell
V = 24.8 Å³ per atom
Energy relative to the elements, uncorrected = -2.14 eV/atom
Crystal system = monoclinic

Unit cell a=6.6322 b=3.8291 c=8.1082 alpha=90.00 beta=105.91 gamma=90.00
Space group Cm (No. 8)
Unique sites:
U1 0.0000 0.0000 0.0000 [2 per cell]
Br1 0.2586 0.5000 0.2744 [2 per cell]
Cl1 0.0832 0.5000 0.7509 [2 per cell]
O1 0.3337 0.0000 0.0010 [2 per cell]


Entry 3:
Density functional theory data (PBE-GGA) for crystalline KPuPb2 at its relaxed geometry.

Values from the calculation:
Polymorph energy (0 for the lowest one) = 128.3 meV per atom
Raw total energy = -68.63 eV/cell
V = 31.9 Å³ per atom
ΔH_f (0 K) = -0.031 eV per formula unit
Crystal system = trigonal

Unit cell a=3.5806 b=3.5806 c=34.5291 alpha=90.00 beta=90.00 gamma=120.00
Space group R-3m (No. 166, hexagonal axes)
Unique sites:
K1 0.0000 0.0000 0.0000 [3 per cell]
Pu1 0.0000 0.0000 0.5000 [3 per cell]
Pb1 0.0000 0.0000 0.2460 [6 per cell]